# 1
CaNbFe4 | GGA-PBE | optimized geometry

* Fermi-level density of states: 4.43 states/eV/f.u.
* energy: -7.528 eV/atom
* total magnetic moment: 1.0688 μB/atom
* ρ: 6.79 g/cm³

a = 7.037 Å, b = 7.037 Å, c = 7.037 Å
α = 90.00°, β = 90.00°, γ = 90.00°
Space group F-43m (No. 216)
Symmetry-distinct sites (fractional):
Ca: 0.000 0.000 0.000 [4 per cell]
Nb: 0.250 0.250 0.250 [4 per cell]
Fe: 0.125 0.125 0.625 [16 per cell]

# 2
CaNb3Fe | GGA-PBE | optimized geometry

* Fermi-level density of states: 4.43 states/eV/f.u.
* energy: -7.500 eV/atom
* total magnetic moment: 0.0000 μB/atom
* ρ: 5.85 g/cm³
* energy above the most stable polymorph in this dataset: 0.0 meV per atom

a = 4.739 Å, b = 4.739 Å, c = 4.739 Å
α = 90.00°, β = 90.00°, γ = 90.00°
Space group Pm-3m (No. 221)
Symmetry-distinct sites (fractional):
Ca: 0.000 0.000 0.000 [1 per cell]
Nb: 0.000 0.500 0.500 [3 per cell]
Fe: 0.500 0.500 0.500 [1 per cell]

Which of these has the highest energy?
CaNb3Fe

Fermi-level density of states of number 1 (CaNbFe4)?
4.43 states/eV/f.u.

What is the formula in the first record?
CaNbFe4

Look up the ρ of the first one.
6.79 g/cm³